(1)
Computed, not measured: a geometry-optimized Ga3AuCl structure at the GGA-PBE level of DFT.

The structure in POSCAR format:
```
Ga3AuCl
1.0
5.563 0.000 0.000
-2.782 4.818 0.000
0.000 0.000 7.706
Ga Au Cl
6 2 2
Direct
0.000 0.500 0.186
0.000 0.500 0.814
0.500 0.000 0.186
0.500 0.000 0.814
0.500 0.500 0.186
0.500 0.500 0.814
0.000 0.000 0.198
0.000 0.000 0.802
0.333 0.667 0.500
0.667 0.333 0.500
```

- space-group type = P6/mmm (191)

(2)
Computed, not measured: a geometry-optimized HoTmCu2Si2 structure at the GGA-PBE level of DFT.

The structure in POSCAR format:
```
HoTmCu2Si2
1.0
4.117 0.000 0.000
-2.058 3.565 0.000
0.000 0.000 7.398
Ho Tm Cu Si
1 1 2 2
Direct
0.000 0.000 0.000
0.000 0.000 0.500
0.333 0.667 0.252
0.667 0.333 0.748
0.333 0.667 0.748
0.667 0.333 0.252
```

- magnetic moment (Bohr magnetons per cell) = 0.01
- space-group type = P-3m1 (164)

(3)
Computed, not measured: a geometry-optimized AlGaCu2 structure at the GGA-PBE level of DFT.

The structure in POSCAR format:
```
AlGaCu2
1.0
6.024 0.000 0.000
0.000 6.024 0.000
0.000 0.000 6.024
Al Ga Cu
4 4 8
Direct
0.000 0.000 0.000
0.000 0.000 0.500
0.000 0.500 0.000
0.500 0.000 0.000
0.000 0.500 0.500
0.500 0.000 0.500
0.500 0.500 0.000
0.500 0.500 0.500
0.246 0.246 0.246
0.246 0.246 0.754
0.246 0.754 0.246
0.246 0.754 0.754
0.754 0.246 0.246
0.754 0.246 0.754
0.754 0.754 0.246
0.754 0.754 0.754
```

- space-group type = Pm-3m (221)

(4)
Computed, not measured: a geometry-optimized SnPdW structure at the GGA-PBE level of DFT.

The structure in POSCAR format:
```
SnPdW
1.0
0.000 3.110 3.110
3.110 0.000 3.110
3.110 3.110 0.000
Sn Pd W
1 1 1
Direct
0.000 0.000 0.000
0.250 0.250 0.250
0.500 0.500 0.500
```

- energy relative to the lowest polymorph listed for this composition (meV per atom) = 0
- magnetic moment (Bohr magnetons per cell) = 1.91
- space-group type = F-43m (216)

Number 1: E_tot -2.986 eV per atom. Number 2: E_tot -5.222 eV per atom. Number 3: E_tot -3.606 eV per atom. Number 4: E_tot -6.817 eV per atom.